Record 1
A plane-wave DFT calculation with PBE was carried out for La2CuPd2Pt5 after structural relaxation.

Cell: 9.528 9.528 4.169 Å, 90.00 90.00 90.00°
Element x y z (fractional)
La 0.177 0.323 0.000
La 0.323 0.823 0.000
La 0.677 0.177 0.000
La 0.823 0.677 0.000
Cu 0.000 0.000 0.000
Cu 0.500 0.500 0.000
Pd 0.125 0.625 0.000
Pd 0.375 0.125 0.000
Pd 0.625 0.875 0.000
Pd 0.875 0.375 0.000
Pt 0.000 0.500 0.500
Pt 0.055 0.801 0.500
Pt 0.199 0.055 0.500
Pt 0.301 0.555 0.500
Pt 0.445 0.301 0.500
Pt 0.500 0.000 0.500
Pt 0.555 0.699 0.500
Pt 0.699 0.445 0.500
Pt 0.801 0.945 0.500
Pt 0.945 0.199 0.500

## Properties
Density in kg/m³: 13425
Raw total energy in eV per cell: -122.38
Calculated volume in Å³ per atom: 18.920
Formation enthalpy at 0 K in kJ/mol of atoms: -64.1
Symmetry: P4/mbm, No. 127
Magnetization in μB/f.u.: 0.0

***

Record 2
A plane-wave DFT calculation with PBE was carried out for LaPuCuPd after structural relaxation.

Cell: 5.082 5.082 5.082 Å, 60.00 60.00 60.00°
Element x y z (fractional)
La 0.000 0.000 0.000
Pu 0.500 0.500 0.500
Cu 0.250 0.250 0.250
Pd 0.750 0.750 0.750

## Properties
Density in kg/m³: 9894
Raw total energy in eV per cell: -29.62
Calculated volume in Å³ per atom: 23.196
Formation enthalpy at 0 K in kJ/mol of atoms: -25.9
Symmetry: F-43m, No. 216
Magnetization in μB/f.u.: 5.9

***

Record 3
A plane-wave DFT calculation with PBE was carried out for LaCuRe2Pd after structural relaxation.

Cell: 4.814 4.814 4.714 Å, 90.00 90.00 90.00°
Element x y z (fractional)
La 0.000 0.000 0.000
Cu 0.500 0.500 0.000
Re 0.000 0.500 0.500
Re 0.500 0.000 0.500
Pd 0.500 0.500 0.500

## Properties
Density in kg/m³: 10354
Raw total energy in eV per cell: -32.83
Calculated volume in Å³ per atom: 21.853
Formation enthalpy at 0 K in kJ/mol of atoms: 121.2
Symmetry: P4/mmm, No. 123
Magnetization in μB/f.u.: 0.0

***

Record 4
A plane-wave DFT calculation with PBE was carried out for La2CuPdRu after structural relaxation.

Cell: 5.345 5.345 4.916 Å, 90.00 90.00 90.00°
Element x y z (fractional)
La 0.000 0.500 0.000
La 0.500 0.000 0.000
Cu 0.000 0.000 0.500
Pd 0.500 0.500 0.500
Ru 0.500 0.500 0.000

## Properties
Density in kg/m³: 6489
Raw total energy in eV per cell: -27.71
Calculated volume in Å³ per atom: 28.091
Formation enthalpy at 0 K in kJ/mol of atoms: 13.8
Symmetry: P4/mmm, No. 123
Distance to the lowest polymorph of the same formula in meV/atom: 0
Magnetization in μB/f.u.: 0.0

***

Record 5
A plane-wave DFT calculation with PBE was carried out for La2CuPdRu after structural relaxation.

Cell: 5.455 5.455 4.470 Å, 90.00 90.00 90.00°
Element x y z (fractional)
La 0.000 0.500 0.000
La 0.500 0.000 0.000
Cu 0.000 0.000 0.000
Pd 0.500 0.500 0.500
Ru 0.000 0.000 0.500

## Properties
Density in kg/m³: 6853
Raw total energy in eV per cell: -26.83
Calculated volume in Å³ per atom: 26.597
Formation enthalpy at 0 K in kJ/mol of atoms: 30.6
Symmetry: P4/mmm, No. 123
Distance to the lowest polymorph of the same formula in meV/atom: 174
Magnetization in μB/f.u.: 0.0

***

Record 6
A plane-wave DFT calculation with PBE was carried out for La2CuSb4Pd3 after structural relaxation.

Cell: 4.621 4.621 10.812 Å, 90.00 90.00 90.00°
Element x y z (fractional)
La 0.000 0.500 0.237
La 0.500 0.000 0.763
Cu 0.500 0.500 0.000
Sb 0.000 0.000 0.500
Sb 0.000 0.500 0.873
Sb 0.500 0.000 0.127
Sb 0.500 0.500 0.500
Pd 0.000 0.000 0.000
Pd 0.000 0.500 0.631
Pd 0.500 0.000 0.369

## Properties
E_form (uncorrected) in kJ/mol of atoms: -77.28
Density in kg/m³: 8255
Raw total energy in eV per cell: -54.03
Calculated volume in Å³ per atom: 23.086
Symmetry: P-4m2, No. 115
Magnetization in μB/f.u.: 0.0

***

Record 7
A plane-wave DFT calculation with PBE was carried out for La2Cu3Sb4Pd after structural relaxation.

Cell: 4.632 4.632 10.484 Å, 90.00 90.00 90.00°
Element x y z (fractional)
La 0.000 0.500 0.239
La 0.500 0.000 0.761
Cu 0.000 0.000 0.000
Cu 0.000 0.500 0.627
Cu 0.500 0.000 0.373
Sb 0.000 0.000 0.500
Sb 0.000 0.500 0.868
Sb 0.500 0.000 0.132
Sb 0.500 0.500 0.500
Pd 0.500 0.500 0.000

## Properties
E_form (uncorrected) in kJ/mol of atoms: -59.67
Density in kg/m³: 7838
Raw total energy in eV per cell: -50.01
Calculated volume in Å³ per atom: 22.497
Symmetry: P-4m2, No. 115
Magnetization in μB/f.u.: 0.0

***

Record 8
A plane-wave DFT calculation with PBE was carried out for LaCuSbPd2 after structural relaxation.

Cell: 4.763 4.763 5.208 Å, 90.00 90.00 90.00°
Element x y z (fractional)
La 0.000 0.000 0.000
Cu 0.000 0.000 0.500
Sb 0.500 0.500 0.000
Pd 0.000 0.500 0.500
Pd 0.500 0.000 0.500

## Properties
E_form (uncorrected) in kJ/mol of atoms: -4.44
Density in kg/m³: 7547
Raw total energy in eV per cell: -23.76
Calculated volume in Å³ per atom: 23.632
Symmetry: P4/mmm, No. 123
Magnetization in μB/f.u.: 0.0